1.
Entry from the Alexandria database: a relaxed ZnIn2Tc crystal (GGA-PBEsol).

Computed properties:
Crystal system: cubic
N(E_F) (states/eV/f.u.): 2.40
Space group: F-43m (216)
Mass density (g/cm3): 9.36
E (eV per atom): -4.19

Unit cell a=4.619 b=4.619 c=4.619 alpha=60.00 beta=60.00 gamma=60.00
Fractional coordinates of all 4 atoms:
In (0.000, 0.000, 0.000)
In (0.750, 0.750, 0.750)
Tc (0.500, 0.500, 0.500)
Zn (0.250, 0.250, 0.250)

=====

2.
Entry from the Alexandria database: a relaxed ZnIn2Tc crystal (GGA-PBEsol).

Computed properties:
Crystal system: tetragonal
N(E_F) (states/eV/f.u.): 1.27
Space group: I4/mmm (139)
Mass density (g/cm3): 9.52
E (eV per atom): -4.54

Unit cell a=4.012 b=4.012 c=5.116 alpha=113.08 beta=113.08 gamma=90.00
Last column: magnetic moment on the atom in μB.
Fractional coordinates of all 4 atoms:
In (0.750, 0.250, 0.500)  -0.01
In (0.250, 0.750, 0.500)  -0.01
Tc (0.000, 0.000, 0.000)  0.74
Zn (0.500, 0.500, 0.000)  0.00

=====

3.
Entry from the Alexandria database: a relaxed ZrInTc crystal (GGA-PBEsol).

Computed properties:
Energy above the most stable polymorph in this dataset (kJ/mol of formula units): 50
Crystal system: trigonal
N(E_F) (states/eV/f.u.): 1.05
Space group: P3m1 (156)
Mass density (g/cm3): 9.23

Unit cell a=2.914 b=4.656 c=4.656 alpha=120.00 beta=90.00 gamma=90.00
Fractional coordinates of all 3 atoms:
In (0.962, 0.000, 0.000)
Tc (0.647, 0.667, 0.333)
Zr (0.391, 0.333, 0.667)